1.
Compound: TaOsW2
Source: Alexandria via LeMat-Bulk
Functional: PBEsol
Structure: optimized geometry

abc: 5.407 8.883 2.764
angles: 90.00 109.43 90.00
Fractional coordinates of all 8 atoms:
Ta 0.000 0.000 0.000
Ta 0.500 0.500 0.000
Os 0.000 0.500 0.000
Os 0.500 0.000 0.000
W 0.250 0.250 0.500
W 0.250 0.750 0.500
W 0.750 0.250 0.500
W 0.750 0.750 0.500

Values from the calculation:
- crystal system = monoclinic
- spin magnetization (μB/f.u.) = 0.00
- calculated formation energy (meV per atom) = 3.6
- SG = C2/m, No. 12

---

2.
Compound: RbCr2CoC
Source: Alexandria via LeMat-Bulk
Functional: PBEsol
Structure: optimized geometry

abc: 4.366 4.366 6.336
angles: 90.00 90.00 90.00
Fractional coordinates of all 5 atoms:
Rb 0.000 0.000 0.000
Cr 0.000 0.500 0.500
Cr 0.500 0.000 0.500
Co 0.000 0.000 0.500
C 0.500 0.500 0.000

Values from the calculation:
- crystal system = tetragonal
- spin magnetization (μB/f.u.) = 9.07
- calculated formation energy (meV per atom) = 2487.4
- SG = P4/mmm, No. 123

---

3.
Compound: TlSn2Hg2
Source: Alexandria via LeMat-Bulk
Functional: PBEsol
Structure: optimized geometry

abc: 4.538 4.538 13.270
angles: 90.00 90.00 90.00
Fractional coordinates of all 10 atoms:
Tl 0.000 0.000 0.000
Tl 0.500 0.500 0.500
Sn 0.000 0.500 0.250
Sn 0.000 0.500 0.750
Sn 0.500 0.000 0.250
Sn 0.500 0.000 0.750
Hg 0.000 0.000 0.397
Hg 0.000 0.000 0.603
Hg 0.500 0.500 0.103
Hg 0.500 0.500 0.897

Values from the calculation:
- crystal system = tetragonal
- spin magnetization (μB/f.u.) = 0.00
- calculated formation energy (meV per atom) = 41.3
- distance to the lowest polymorph of the same formula (kcal/mol of atoms) = 0.24
- SG = I4/mmm, No. 139

---

4.
Compound: InSe2IN
Source: Alexandria via LeMat-Bulk
Functional: PBEsol
Structure: optimized geometry

abc: 5.458 5.458 3.955
angles: 90.00 90.00 90.00
Fractional coordinates of all 5 atoms:
In 0.000 0.000 0.000
Se 0.000 0.500 0.500
Se 0.500 0.000 0.500
I 0.500 0.500 0.500
N 0.500 0.500 0.000

Values from the calculation:
- crystal system = tetragonal
- spin magnetization (μB/f.u.) = 0.00
- uncorrected formation energy (eV/atom) = 0.921
- SG = P4/mmm, No. 123

---

5.
Compound: YZrAu2
Source: Alexandria via LeMat-Bulk
Functional: PBEsol
Structure: optimized geometry

abc: 4.889 4.889 3.457
angles: 90.00 90.00 90.00
Fractional coordinates of all 4 atoms:
Y 0.000 0.000 0.000
Zr 0.500 0.500 0.000
Au 0.000 0.500 0.500
Au 0.500 0.000 0.500

Values from the calculation:
- crystal system = tetragonal
- spin magnetization (μB/f.u.) = 0.00
- calculated formation energy (meV per atom) = -641.4
- distance to the lowest polymorph of the same formula (kcal/mol of atoms) = 1.00
- SG = P4/mmm, No. 123

---

6.
Compound: K2AlIn
Source: Alexandria via LeMat-Bulk
Functional: PBEsol
Structure: optimized geometry

abc: 3.699 6.114 12.191
angles: 90.00 90.00 90.00
Fractional coordinates of all 8 atoms:
K 0.000 0.000 0.000
K 0.000 0.500 0.193
K 0.500 0.000 0.693
K 0.500 0.500 0.500
Al 0.000 0.500 0.757
Al 0.500 0.000 0.257
In 0.000 0.000 0.428
In 0.500 0.500 0.928

Values from the calculation:
- crystal system = orthorhombic
- spin magnetization (μB/f.u.) = 0.00
- calculated formation energy (meV per atom) = 140.4
- distance to the lowest polymorph of the same formula (kcal/mol of atoms) = 2.65
- SG = Imm2, No. 44

---

7.
Compound: Tb2Pd2Pb
Source: Alexandria via LeMat-Bulk
Functional: PBEsol
Structure: optimized geometry

abc: 7.737 7.737 3.627
angles: 90.00 90.00 90.00
Fractional coordinates of all 10 atoms:
Tb 0.173 0.327 0.000
Tb 0.327 0.827 0.000
Tb 0.673 0.173 0.000
Tb 0.827 0.673 0.000
Pd 0.126 0.626 0.500
Pd 0.374 0.126 0.500
Pd 0.626 0.874 0.500
Pd 0.874 0.374 0.500
Pb 0.000 0.000 0.500
Pb 0.500 0.500 0.500

Values from the calculation:
- crystal system = tetragonal
- spin magnetization (μB/f.u.) = 0.00
- calculated formation energy (meV per atom) = -848.0
- SG = P4/mbm, No. 127

---

8.
Compound: Na2ReSiAu
Source: Alexandria via LeMat-Bulk
Functional: PBEsol
Structure: optimized geometry

abc: 5.026 5.026 4.547
angles: 90.00 90.00 90.00
Fractional coordinates of all 5 atoms:
Na 0.000 0.500 0.000
Na 0.500 0.000 0.000
Re 0.000 0.000 0.500
Si 0.000 0.000 0.000
Au 0.500 0.500 0.500

Values from the calculation:
- crystal system = tetragonal
- spin magnetization (μB/f.u.) = 1.80
- uncorrected formation energy (eV/atom) = 1.053
- SG = P4/mmm, No. 123